Entry 1:
Sm8PC3Cl4: optimized geometry, PBE.

Geometry as extended XYZ:
```
16
Lattice="3.8305 2.2115 7.0016 -3.8305 2.2115 7.0016 0.0000 -4.4231 7.0016" Properties=species:S:1:pos:R:3 pbc="T T T"
Sm -2.0389 -1.1772 11.8741
Sm 0.0000 0.0000 4.8252
Sm 0.0000 -2.3544 9.1308
Sm -2.0389 1.1772 9.1308
Sm 2.0389 -1.1772 11.8741
Sm 0.0000 2.3544 11.8741
Sm 0.0000 0.0000 16.1797
Sm 2.0389 1.1772 9.1308
P 0.0000 0.0000 10.5025
C -3.8305 0.0000 10.5025
C -1.9152 1.1058 3.5008
C 1.9152 1.1058 3.5008
Cl 0.0000 0.0000 0.0000
Cl -1.9152 -1.1058 7.0016
Cl -1.9152 1.1058 14.0033
Cl 0.0000 2.2115 7.0016
```

Values from the calculation:
- M_tot (μB/cell) = 0.00
- space-group type = R-3m, No. 166
- formation energy from raw total energies (eV per atom) = -1.182
- DFT total energy (eV/atom) = -6.07



Entry 2:
SnPCCl2: optimized geometry, PBE.

Geometry as extended XYZ:
```
5
Lattice="4.5652 0.0000 0.0000 0.0000 4.5652 0.0000 0.0000 0.0000 4.3411" Properties=species:S:1:pos:R:3 pbc="T T T"
Sn 0.0000 0.0000 0.0000
P 2.2826 2.2826 0.0000
C 2.2826 2.2826 2.1705
Cl 0.0000 2.2826 2.1705
Cl 2.2826 0.0000 2.1705
```

Values from the calculation:
- M_tot (μB/cell) = 0.00
- space-group type = P4/mmm, No. 123
- formation energy from raw total energies (eV per atom) = 0.886
- DFT total energy (eV/atom) = -3.58



Entry 3:
SnPCCl2: optimized geometry, PBE.

Geometry as extended XYZ:
```
5
Lattice="5.0932 0.0000 0.0000 0.0000 5.0932 0.0000 0.0000 0.0000 5.3189" Properties=species:S:1:pos:R:3 pbc="T T T"
Sn 0.0000 0.0000 0.0000
P 0.0000 0.0000 2.6595
C 2.5466 2.5466 2.6595
Cl 0.0000 2.5466 0.0000
Cl 2.5466 0.0000 0.0000
```

Values from the calculation:
- M_tot (μB/cell) = 1.86
- space-group type = P4/mmm, No. 123
- formation energy from raw total energies (eV per atom) = 1.524
- DFT total energy (eV/atom) = -2.94